Record 1
This record from the Alexandria database describes RbCuBr2 after structural relaxation. The functional is PBE-GGA.

Calculated values
D(E_F): 0.0 states/eV/cell
volume: 196 Å³/f.u.
E_tot: -37.10 eV for the cell shown
formation energy without anion corrections: -4.0 eV per formula unit

Unit cell a=5.5105 b=5.5105 c=22.3786 alpha=90.00 beta=90.00 gamma=120.00
Closest atoms and distances in Å follow each position.
Space group R-3m (No. 166, hexagonal axes)
Asymmetric unit:
1 Rb 0.0000 0.0000 0.0000 x3  6 Br 3.51
2 Cu 0.0000 0.0000 0.5000 x3  2 Br 2.24
3 Br 0.0000 0.0000 0.3999 x6  1 Cu 2.24

Record 2
This record from the Alexandria database describes RbRuIN2 after structural relaxation. The functional is PBE-GGA.

Calculated values
D(E_F): 3.0 states/eV/cell
volume: 99 Å³/f.u.
E_tot: -24.15 eV for the cell shown
formation energy without anion corrections: 4.3 eV per formula unit

Unit cell a=4.1766 b=4.1766 c=5.6970 alpha=90.00 beta=90.00 gamma=90.00
Closest atoms and distances in Å follow each position.
Space group P4/mmm (No. 123)
Asymmetric unit:
1 Rb 0.0000 0.0000 0.0000 x1  4 I 2.95
2 Ru 0.5000 0.5000 0.5000 x1  4 N 2.09
3 I 0.5000 0.5000 0.0000 x1  2 Ru 2.85, 4 Rb 2.95
4 N 0.0000 0.5000 0.5000 x2  2 Ru 2.09